Below is crystalline K2ZrNi at its relaxed geometry, with properties calculated at the GGA-PBEsol level.

POSCAR file:
```
K2ZrNi
1.0
1.547 0.893 11.914
-1.547 0.893 11.914
0.000 -1.786 11.914
K Zr Ni
2 1 1
Cartesian
0.000 0.000 8.447
0.000 0.000 27.295
0.000 0.000 0.000
0.000 0.000 17.871
```

Summary:
electronic total energy: -3.390 eV/atom
calculated density: 3.84 g/cm³
SG: R-3m (166)
V: 24.68 A^3/atom


Below is crystalline KZrNi2 at its relaxed geometry, with properties calculated at the GGA-PBEsol level.

POSCAR file:
```
KZrNi2
1.0
0.000 3.267 3.267
3.267 0.000 3.267
3.267 3.267 0.000
K Zr Ni
1 1 2
Cartesian
0.000 0.000 0.000
3.267 3.267 3.267
1.634 1.634 1.634
4.901 4.901 4.901
```

Summary:
electronic total energy: -4.983 eV/atom
calculated density: 5.90 g/cm³
SG: Fm-3m (225)
V: 17.44 A^3/atom
relative energy among the computed polymorphs: 544 meV/atom


Below is crystalline K2NpO4 at its relaxed geometry, with properties calculated at the GGA-PBEsol level.

POSCAR file:
```
K2NpO4
1.0
-2.138 2.138 6.574
2.138 -2.138 6.574
2.138 2.138 -6.574
K Np O
2 1 4
Cartesian
0.000 0.000 1.980
0.000 0.000 11.168
0.000 0.000 6.574
2.138 0.000 0.000
0.000 0.000 4.657
0.000 2.138 0.000
0.000 0.000 8.491
```

Summary:
electronic total energy: -7.762 eV/atom
calculated density: 5.24 g/cm³
SG: I4/mmm (139)
raw formation energy: -2.460 eV/atom
V: 17.18 A^3/atom


Below is crystalline KNpO3 at its relaxed geometry, with properties calculated at the GGA-PBEsol level.

POSCAR file:
```
KNpO3
1.0
4.245 0.000 0.000
0.000 4.245 0.000
0.000 0.000 4.245
K Np O
1 1 3
Cartesian
0.000 0.000 0.000
2.123 2.123 2.123
0.000 2.123 2.123
2.123 0.000 2.123
2.123 2.123 0.000
```

Summary:
electronic total energy: -8.790 eV/atom
calculated density: 7.03 g/cm³
SG: Pm-3m (221)
raw formation energy: -2.644 eV/atom
V: 15.30 A^3/atom


What is the electronic total energy in the first record? -3.390 eV/atom


What did the fourth record say?
Below is crystalline KNpO3 at its relaxed geometry, with properties calculated at the GGA-PBEsol level.

POSCAR file:
```
KNpO3
1.0
4.245 0.000 0.000
0.000 4.245 0.000
0.000 0.000 4.245
K Np O
1 1 3
Cartesian
0.000 0.000 0.000
2.123 2.123 2.123
0.000 2.123 2.123
2.123 0.000 2.123
2.123 2.123 0.000
```

Summary:
electronic total energy: -8.790 eV/atom
calculated density: 7.03 g/cm³
SG: Pm-3m (221)
raw formation energy: -2.644 eV/atom
V: 15.30 A^3/atom


Please write out number 1 again, unchanged.
Below is crystalline K2ZrNi at its relaxed geometry, with properties calculated at the GGA-PBEsol level.

POSCAR file:
```
K2ZrNi
1.0
1.547 0.893 11.914
-1.547 0.893 11.914
0.000 -1.786 11.914
K Zr Ni
2 1 1
Cartesian
0.000 0.000 8.447
0.000 0.000 27.295
0.000 0.000 0.000
0.000 0.000 17.871
```

Summary:
electronic total energy: -3.390 eV/atom
calculated density: 3.84 g/cm³
SG: R-3m (166)
V: 24.68 A^3/atom